No. 1
# SrPr2In PBE relaxed
data_SrPr2In
_cell_length_a 5.4835
_cell_length_b 5.4835
_cell_length_c 18.1049
_cell_angle_alpha 90.00
_cell_angle_beta 90.00
_cell_angle_gamma 120.00
_space_group_name_H-M_alt 'R 3 m'
_space_group_IT_number 160
_space_group_name_Hall 'R 3 -2"'
loop_
_atom_site_label
_atom_site_fract_x
_atom_site_fract_y
_atom_site_fract_z
_atom_site_occupancy
Sr1 0.0000 0.0000 0.0000 1
Pr1 0.0000 0.0000 0.5538 1
Pr2 0.0000 0.0000 0.7864 1
In1 0.0000 0.0000 0.1978 1
# ρ: 5.12 g/cm3
# Energy relative to the lowest polymorph listed for this composition: 179 meV per atom
# D(E_F): 1.45 states/eV per atom
# Energy of formation: 0.015 eV/atom

=====

No. 2
# SrPrIn PBE relaxed
data_SrPrIn
_cell_length_a 3.663
_cell_length_b 3.663
_cell_length_c 18.086
_cell_angle_alpha 90.00
_cell_angle_beta 90.00
_cell_angle_gamma 90.00
_space_group_name_H-M_alt 'I 4 m m'
_space_group_IT_number 107
_space_group_name_Hall 'I 4 -2'
loop_
_atom_site_label
_atom_site_fract_x
_atom_site_fract_y
_atom_site_fract_z
_atom_site_occupancy
Sr1 0.000 0.000 0.000 1
Pr1 0.000 0.000 0.793 1
In1 0.000 0.000 0.180 1
# ρ: 4.70 g/cm3
# Energy relative to the lowest polymorph listed for this composition: 493 meV per atom
# D(E_F): 0.89 states/eV per atom
# Energy of formation: 0.146 eV/atom

=====

No. 3
# SrPrIn6 PBE relaxed
data_SrPrIn6
_cell_length_a 4.793
_cell_length_b 4.793
_cell_length_c 9.615
_cell_angle_alpha 90.00
_cell_angle_beta 90.00
_cell_angle_gamma 90.00
_space_group_name_H-M_alt 'P 4/m m m'
_space_group_IT_number 123
_space_group_name_Hall '-P 4 2'
loop_
_atom_site_label
_atom_site_fract_x
_atom_site_fract_y
_atom_site_fract_z
_atom_site_occupancy
Sr1 0.000 0.000 0.000 1
Pr1 0.000 0.000 0.500 1
In1 0.000 0.500 0.254 1
In2 0.500 0.500 0.000 1
In3 0.500 0.500 0.500 1
# ρ: 6.90 g/cm3
# D(E_F): 0.40 states/eV per atom
# Energy of formation: -0.383 eV/atom